Record 1
# Li2TlIn

Li2TlIn at its PBEsol-relaxed geometry (SCAN, Alexandria).

abc: 3.371 3.371 6.734
angles: 90.00 90.00 90.00
Element x y z (fractional)
Li: 0.000 0.000 0.750
In: 0.500 0.500 0.500
Tl: 0.500 0.500 0.000
Li: 0.000 0.000 0.250

For the total energy, the calculation gives -27.979 eV/atom. The energy of formation from the pure elements is -0.348 eV per atom.

=====

Record 2
# TlSn2Br5

TlSn2Br5 at its PBEsol-relaxed geometry (SCAN, Alexandria).

abc: 8.139 9.107 8.139
angles: 116.54 90.00 116.54
Element x y z (fractional)
Sn: 0.165 0.000 0.665
Tl: 0.250 0.500 0.250
Br: 0.000 0.000 0.000
Br: 0.020 0.722 0.203
Br: 0.500 0.000 0.500
Tl: 0.750 0.500 0.750
Br: 0.520 0.722 0.020
Br: 0.703 0.722 0.520
Br: 0.980 0.278 0.797
Br: 0.797 0.278 0.297
Sn: 0.835 0.000 0.335
Br: 0.297 0.278 0.480
Sn: 0.335 0.000 0.165
Br: 0.480 0.278 0.980
Sn: 0.665 0.000 0.835
Br: 0.203 0.722 0.703

For the total energy, the calculation gives -30.988 eV/atom.

=====

Record 3
# CaPBr3

CaPBr3 at its PBEsol-relaxed geometry (SCAN, Alexandria).

abc: 5.511 5.511 5.511
angles: 90.00 90.00 90.00
Site moments in Bohr magnetons follow the coordinates.
Element x y z (fractional)
P: 0.500 0.500 0.500  1.01
Ca: 0.000 0.000 0.000  0.00
Br: 0.000 0.500 0.000  -0.07
Br: 0.500 0.000 0.000  -0.07
Br: 0.000 0.000 0.500  -0.07

For the total energy, the calculation gives -16.236 eV/atom.

=====

What did the third record say?
# CaPBr3

CaPBr3 at its PBEsol-relaxed geometry (SCAN, Alexandria).

abc: 5.511 5.511 5.511
angles: 90.00 90.00 90.00
Site moments in Bohr magnetons follow the coordinates.
Element x y z (fractional)
P: 0.500 0.500 0.500  1.01
Ca: 0.000 0.000 0.000  0.00
Br: 0.000 0.500 0.000  -0.07
Br: 0.500 0.000 0.000  -0.07
Br: 0.000 0.000 0.500  -0.07

For the total energy, the calculation gives -16.236 eV/atom.

=====

Q: What is the formula in the first record?
A: Li2TlIn